1.
DFT (GGA-PBE) results for a relaxed structure of Ho5GaSi2.

Lattice parameters (Å, degrees): 5.571 6.231 14.498 90.00 90.00 116.55
Fractional coordinates of all 16 atoms:
Ho: 0.927 0.853 0.611
Ho: 0.073 0.147 0.389
Ho: 0.634 0.267 0.941
Ho: 0.366 0.733 0.059
Ho: 0.073 0.147 0.111
Ho: 0.634 0.267 0.559
Ho: 0.927 0.853 0.889
Ho: 0.281 0.563 0.750
Ho: 0.366 0.733 0.441
Ho: 0.719 0.437 0.250
Si: 0.821 0.643 0.427
Si: 0.179 0.357 0.927
Si: 0.179 0.357 0.573
Si: 0.821 0.643 0.073
Ga: 0.720 0.440 0.750
Ga: 0.280 0.560 0.250

Output
**Excess energy over the best structure of this formula in the dataset**: 2.99 eV per formula unit
**Formation energy from raw total energies**: -190 kJ/mol of formula units
**Space group**: No. 63

2.
DFT (GGA-PBE) results for a relaxed structure of Ho3Ga2Si.

Lattice parameters (Å, degrees): 4.021 11.829 11.730 90.00 90.00 90.00
Fractional coordinates of all 24 atoms:
Si: 0.750 0.630 0.369
Si: 0.250 0.370 0.631
Si: 0.250 0.130 0.131
Si: 0.750 0.870 0.869
Ho: 0.750 0.623 0.940
Ho: 0.750 0.210 0.288
Ho: 0.250 0.790 0.712
Ho: 0.750 0.947 0.117
Ho: 0.250 0.053 0.883
Ho: 0.750 0.290 0.788
Ho: 0.250 0.123 0.560
Ho: 0.750 0.553 0.617
Ho: 0.750 0.877 0.440
Ho: 0.250 0.377 0.060
Ho: 0.250 0.447 0.383
Ho: 0.250 0.710 0.212
Ga: 0.250 0.008 0.312
Ga: 0.250 0.809 0.984
Ga: 0.750 0.508 0.188
Ga: 0.750 0.191 0.016
Ga: 0.250 0.691 0.484
Ga: 0.250 0.492 0.812
Ga: 0.750 0.309 0.516
Ga: 0.750 0.992 0.688

Output
**Formation energy from raw total energies**: -363 kJ/mol of formula units
**Space group**: No. 62

3.
DFT (GGA-PBE) results for a relaxed structure of Ho5Ga2Si2.

Lattice parameters (Å, degrees): 7.549 7.531 8.387 90.00 63.26 90.00
Fractional coordinates of all 18 atoms:
Ho: 0.000 0.000 0.000
Ho: 0.450 0.179 0.731
Ho: 0.050 0.679 0.269
Ho: 0.950 0.321 0.731
Ho: 0.681 0.321 0.269
Ho: 0.181 0.179 0.269
Ho: 0.319 0.679 0.731
Ho: 0.819 0.821 0.731
Ho: 0.500 0.500 0.000
Ho: 0.550 0.821 0.269
Si: 0.884 0.619 0.000
Si: 0.616 0.119 0.000
Si: 0.116 0.381 0.000
Si: 0.384 0.881 0.000
Ga: 0.214 0.000 0.572
Ga: 0.286 0.500 0.428
Ga: 0.714 0.500 0.572
Ga: 0.786 0.000 0.428

Output
**Formation energy from raw total energies**: -549 kJ/mol of formula units
**Space group**: No. 64

4.
DFT (GGA-PBE) results for a relaxed structure of Ho4Ga3Si.

Lattice parameters (Å, degrees): 4.326 3.973 10.738 90.00 90.00 90.00
Fractional coordinates of all 8 atoms:
Ga: 0.000 0.000 0.421
Ga: 0.000 0.500 0.578
Ga: 0.500 0.000 0.925
Ho: 0.000 0.500 0.863
Ho: 0.500 0.500 0.357
Ho: 0.000 0.000 0.139
Ho: 0.500 0.000 0.640
Si: 0.500 0.500 0.076

Output
**Formation energy from raw total energies**: -531 kJ/mol of formula units
**Space group**: No. 25

5.
DFT (GGA-PBE) results for a relaxed structure of Ho7Ga2Si2.

Lattice parameters (Å, degrees): 6.538 7.211 6.538 90.00 110.42 90.00
Fractional coordinates of all 11 atoms:
Ho: 0.500 0.711 0.000
Ho: 0.500 0.263 0.500
Ho: 0.000 0.000 0.000
Ho: 0.500 0.737 0.500
Ho: 0.000 0.289 0.500
Ho: 0.000 0.711 0.500
Ho: 0.500 0.289 0.000
Ga: 0.709 0.000 0.291
Ga: 0.291 0.000 0.709
Si: 0.165 0.500 0.165
Si: 0.835 0.500 0.835

Output
**Formation energy from raw total energies**: -219 kJ/mol of formula units
**Space group**: No. 65

6.
DFT (GGA-PBE) results for a relaxed structure of Ho2Ga2Si.

Lattice parameters (Å, degrees): 4.086 5.767 9.834 82.93 78.01 69.25
Fractional coordinates of all 10 atoms:
Si: 0.571 0.168 0.690
Si: 0.429 0.832 0.310
Ho: 0.705 0.235 0.354
Ho: 0.902 0.295 0.901
Ho: 0.295 0.765 0.646
Ho: 0.098 0.705 0.099
Ga: 0.366 0.153 0.114
Ga: 0.030 0.346 0.594
Ga: 0.970 0.654 0.406
Ga: 0.634 0.847 0.886

Output
**Formation energy from raw total energies**: -310 kJ/mol of formula units
**Space group**: No. 12

7.
DFT (GGA-PBE) results for a relaxed structure of Ho3GaSi3.

Lattice parameters (Å, degrees): 3.884 4.192 9.348 102.96 101.99 90.00
Fractional coordinates of all 7 atoms:
Ho: 0.004 0.004 0.008
Ho: 0.313 0.813 0.627
Ho: 0.684 0.184 0.368
Si: 0.850 0.350 0.699
Si: 0.148 0.648 0.297
Si: 0.567 0.567 0.134
Ga: 0.433 0.433 0.866

Output
**Formation energy from raw total energies**: -494 kJ/mol of formula units
**Space group**: No. 44

8.
DFT (GGA-PBE) results for a relaxed structure of SmHoGaSi.

Lattice parameters (Å, degrees): 4.343 3.982 5.841 90.00 111.83 90.00
Fractional coordinates of all 4 atoms:
Ho: 0.861 0.500 0.722
Si: 0.424 0.000 0.848
Sm: 0.142 0.000 0.284
Ga: 0.573 0.500 0.146

Output
**Formation energy from raw total energies**: -282 kJ/mol of formula units
**Space group**: No. 38

9.
DFT (GGA-PBE) results for a relaxed structure of Sm2Ho2Ga4Si.

Lattice parameters (Å, degrees): 6.592 6.592 6.592 96.90 116.10 116.10
Fractional coordinates of all 9 atoms:
Ho: 0.000 0.693 0.693
Ho: 0.000 0.307 0.307
Ga: 0.503 0.752 0.752
Ga: 0.497 0.248 0.248
Ga: 0.000 0.752 0.248
Ga: 0.000 0.248 0.752
Sm: 0.500 0.250 0.750
Sm: 0.500 0.750 0.250
Si: 0.000 0.000 0.000

Output
**Formation energy from raw total energies**: -289 kJ/mol of formula units
**Space group**: No. 139

10.
DFT (GGA-PBE) results for a relaxed structure of TbHoGaSi.

Lattice parameters (Å, degrees): 4.306 3.956 5.775 90.00 111.89 90.00
Fractional coordinates of all 4 atoms:
Ga: 0.575 0.500 0.150
Tb: 0.141 0.000 0.282
Si: 0.424 0.000 0.847
Ho: 0.860 0.500 0.720

Output
**Formation energy from raw total energies**: -289 kJ/mol of formula units
**Space group**: No. 38

11.
DFT (GGA-PBE) results for a relaxed structure of HoGaSiTc2.

Lattice parameters (Å, degrees): 4.217 6.263 7.433 90.00 90.00 109.67
Fractional coordinates of all 10 atoms:
Ga: 0.000 0.000 0.000
Ga: 0.000 0.000 0.500
Ho: 0.441 0.881 0.750
Ho: 0.559 0.119 0.250
Tc: 0.802 0.604 0.070
Tc: 0.198 0.396 0.570
Tc: 0.802 0.604 0.430
Tc: 0.198 0.396 0.930
Si: 0.745 0.489 0.750
Si: 0.255 0.511 0.250

Output
**Formation energy from raw total energies**: -150 kJ/mol of formula units
**Space group**: No. 63

12.
DFT (GGA-PBE) results for a relaxed structure of HoGa2SiTc2.

Lattice parameters (Å, degrees): 4.496 4.496 5.514 90.00 90.00 90.00
Fractional coordinates of all 6 atoms:
Ga: 0.500 0.500 0.734
Ga: 0.500 0.500 0.266
Si: 0.000 0.000 0.000
Tc: 0.500 0.000 0.000
Tc: 0.000 0.500 0.000
Ho: 0.000 0.000 0.500

Output
**Formation energy from raw total energies**: -149 kJ/mol of formula units
**Space group**: No. 123

13.
DFT (GGA-PBE) results for a relaxed structure of Ho8GaSi3Te4.

Lattice parameters (Å, degrees): 8.376 8.606 8.377 119.12 120.00 90.00
Fractional coordinates of all 16 atoms:
Ho: 0.737 0.723 0.980
Ho: 0.243 0.723 0.980
Ho: 0.263 0.277 0.020
Ho: 0.757 0.277 0.513
Ho: 0.243 0.723 0.487
Ho: 0.739 0.716 0.477
Ho: 0.261 0.284 0.523
Ho: 0.757 0.277 0.020
Si: 0.500 0.500 0.500
Si: 0.000 0.500 0.500
Si: 0.500 0.500 0.000
Te: 0.500 0.000 0.500
Te: 0.500 0.000 0.000
Te: 0.000 0.000 0.500
Te: 0.000 0.000 0.000
Ga: 0.000 0.500 0.000

Output
**Formation energy from raw total energies**: -1586 kJ/mol of formula units
**Space group**: No. 166

14.
DFT (GGA-PBE) results for a relaxed structure of Ho4GaSiTe2.

Lattice parameters (Å, degrees): 4.178 7.147 7.635 108.52 90.00 90.00
Fractional coordinates of all 8 atoms:
Ho: 0.500 0.237 0.223
Ho: 0.000 0.746 0.229
Ho: 0.000 0.254 0.771
Ho: 0.500 0.763 0.777
Te: 0.500 0.000 0.500
Te: 0.000 0.500 0.500
Si: 0.000 0.000 0.000
Ga: 0.500 0.500 0.000

Output
**Formation energy from raw total energies**: -756 kJ/mol of formula units
**Space group**: No. 10

15.
DFT (GGA-PBE) results for a relaxed structure of Y2Ho2Ga4Si.

Lattice parameters (Å, degrees): 6.557 6.557 6.557 96.66 116.23 116.23
Fractional coordinates of all 9 atoms:
Ga: 0.000 0.249 0.751
Ga: 0.000 0.751 0.249
Ga: 0.498 0.249 0.249
Ga: 0.502 0.751 0.751
Ho: 0.000 0.306 0.306
Ho: 0.000 0.694 0.694
Y: 0.500 0.250 0.750
Y: 0.500 0.750 0.250
Si: 0.000 0.000 0.000

Output
**Formation energy from raw total energies**: -273 kJ/mol of formula units
**Space group**: No. 139

16.
DFT (GGA-PBE) results for a relaxed structure of Sm2HoGa.

Lattice parameters (Å, degrees): 4.799 4.762 4.762 90.00 90.00 90.00
Fractional coordinates of all 4 atoms:
Ga: 0.500 0.000 0.000
Ho: 0.500 0.500 0.500
Sm: 0.000 0.500 0.000
Sm: 0.000 0.000 0.500

Output
**Formation enthalpy at 0 K**: -0.234 eV per atom
**Excess energy over the best structure of this formula in the dataset**: 0.12 eV per formula unit
**Space group**: No. 123

17.
DFT (GGA-PBE) results for a relaxed structure of Sm3HoGa4.

Lattice parameters (Å, degrees): 3.690 6.790 9.254 111.52 101.50 90.00
Fractional coordinates of all 8 atoms:
Ga: 0.628 0.822 0.256
Ga: 0.372 0.178 0.744
Ga: 0.628 0.435 0.256
Ga: 0.372 0.565 0.744
Sm: 0.202 0.202 0.405
Sm: 0.798 0.798 0.595
Sm: 0.000 0.500 0.000
Ho: 0.500 0.000 0.000

Output
**Formation enthalpy at 0 K**: -0.447 eV per atom
**Excess energy over the best structure of this formula in the dataset**: 1.04 eV per formula unit
**Space group**: No. 71

18.
DFT (GGA-PBE) results for a relaxed structure of SmHo4Ga4.

Lattice parameters (Å, degrees): 5.852 9.424 9.424 90.00 90.00 90.00
Fractional coordinates of all 18 atoms:
Ho: 0.380 0.620 0.133
Ho: 0.620 0.867 0.620
Ho: 0.880 0.367 0.120
Ho: 0.880 0.633 0.880
Ho: 0.620 0.133 0.380
Ho: 0.380 0.380 0.867
Ho: 0.120 0.880 0.367
Ho: 0.120 0.120 0.633
Ga: 0.890 0.331 0.808
Ga: 0.610 0.169 0.692
Ga: 0.110 0.192 0.331
Ga: 0.610 0.831 0.308
Ga: 0.890 0.669 0.192
Ga: 0.390 0.308 0.169
Ga: 0.390 0.692 0.831
Ga: 0.110 0.808 0.669
Sm: 0.500 0.500 0.500
Sm: 0.000 0.000 0.000

Output
**Formation enthalpy at 0 K**: -0.212 eV per atom
**Space group**: No. 86

19.
DFT (GGA-PBE) results for a relaxed structure of Sm2Ho6Ga.

Lattice parameters (Å, degrees): 3.508 9.266 9.765 118.32 90.08 90.00
Fractional coordinates of all 9 atoms:
Ho: 0.500 0.277 0.000
Ho: 0.001 0.010 0.677
Ho: 0.999 0.990 0.323
Ho: 0.001 0.667 0.677
Ho: 0.999 0.333 0.323
Ho: 0.500 0.723 0.000
Sm: 0.499 0.676 0.353
Sm: 0.501 0.324 0.647
Ga: 0.000 0.000 0.000

Output
**Formation enthalpy at 0 K**: 0.027 eV per atom
**Space group**: No. 12

20.
DFT (GGA-PBE) results for a relaxed structure of SmHo5Ga4.

Lattice parameters (Å, degrees): 3.682 8.733 8.820 96.75 102.05 90.00
Fractional coordinates of all 10 atoms:
Ga: 0.687 0.055 0.375
Ga: 0.023 0.262 0.046
Ga: 0.313 0.945 0.625
Ga: 0.977 0.738 0.954
Sm: 0.500 0.000 0.000
Ho: 0.850 0.225 0.700
Ho: 0.812 0.657 0.624
Ho: 0.500 0.500 0.000
Ho: 0.150 0.775 0.300
Ho: 0.188 0.343 0.376

Output
**Formation enthalpy at 0 K**: -0.278 eV per atom
**Space group**: No. 12

21.
DFT (GGA-PBE) results for a relaxed structure of Sm4HoGa4.

Lattice parameters (Å, degrees): 4.757 10.207 10.207 90.00 90.00 90.00
Fractional coordinates of all 18 atoms:
Sm: 0.500 0.146 0.368
Sm: 0.500 0.632 0.146
Sm: 0.000 0.132 0.646
Sm: 0.500 0.368 0.854
Sm: 0.500 0.854 0.632
Sm: 0.000 0.868 0.354
Sm: 0.000 0.354 0.132
Sm: 0.000 0.646 0.868
Ho: 0.000 0.000 0.000
Ho: 0.500 0.500 0.500
Ga: 0.000 0.430 0.669
Ga: 0.500 0.930 0.169
Ga: 0.000 0.331 0.430
Ga: 0.000 0.570 0.331
Ga: 0.500 0.169 0.070
Ga: 0.500 0.070 0.831
Ga: 0.000 0.669 0.570
Ga: 0.500 0.831 0.930

Output
**Formation enthalpy at 0 K**: -0.394 eV per atom
**Space group**: No. 87

22.
DFT (GGA-PBE) results for a relaxed structure of Sm2Ho2Ga3.

Lattice parameters (Å, degrees): 3.696 8.163 5.982 92.70 72.06 90.01
Fractional coordinates of all 7 atoms:
Sm: 0.704 0.834 0.593
Sm: 0.296 0.166 0.407
Ga: 0.832 0.460 0.335
Ga: 0.168 0.540 0.665
Ga: 0.000 0.000 0.000
Ho: 0.440 0.697 0.119
Ho: 0.560 0.303 0.881

Output
**Formation enthalpy at 0 K**: -0.427 eV per atom
**Space group**: No. 2